[1]
# GdErCo | Alexandria via LeMat-Bulk | GGA-PBE | optimized geometry
# - calculated formation energy (eV/atom) = -0.067
# - size of the total moment (μB per formula unit) = 7.28
# - Fermi-level density of states (states/eV/f.u.) = 2.61
data_GdErCo
_space_group_name_H-M_alt 'P 3 m 1'
_space_group_IT_number 156
_cell_length_a 3.8644
_cell_length_b 3.8644
_cell_length_c 6.1645
_cell_angle_alpha 90.00
_cell_angle_beta 90.00
_cell_angle_gamma 120.00
loop_
_space_group_symop_operation_xyz
'x,y,z'
'-y,x-y,z'
'-x+y,-x,z'
'-y,-x,z'
'-x+y,y,z'
'x,x-y,z'
loop_
_atom_site_label
_atom_site_type_symbol
_atom_site_fract_x
_atom_site_fract_y
_atom_site_fract_z
Gd1 Gd 0.0000 0.0000 0.0000
Er1 Er 0.3333 0.6667 0.4655
Co1 Co 0.6667 0.3333 0.2346



[2]
# GdErCo2 | Alexandria via LeMat-Bulk | GGA-PBE | optimized geometry
# - calculated formation energy (eV/atom) = -0.151
# - size of the total moment (μB per formula unit) = 6.34
# - Fermi-level density of states (states/eV/f.u.) = 0.84
data_GdErCo2
_space_group_name_H-M_alt 'F m -3 m'
_space_group_IT_number 225
_space_group_name_Hall '-F 4 2 3'
_cell_length_a 6.677
_cell_length_b 6.677
_cell_length_c 6.677
_cell_angle_alpha 90.00
_cell_angle_beta 90.00
_cell_angle_gamma 90.00
loop_
_atom_site_label
_atom_site_type_symbol
_atom_site_fract_x
_atom_site_fract_y
_atom_site_fract_z
Gd1 Gd 0.000 0.000 0.000
Er1 Er 0.000 0.000 0.500
Co1 Co 0.250 0.250 0.250



[3]
# GdErCo | Alexandria via LeMat-Bulk | GGA-PBE | optimized geometry
# - calculated formation energy (eV/atom) = -0.061
# - size of the total moment (μB per formula unit) = 7.39
# - Fermi-level density of states (states/eV/f.u.) = 2.97
data_GdErCo
_space_group_name_H-M_alt 'F -4 3 m'
_space_group_IT_number 216
_space_group_name_Hall 'F -4 2 3'
_cell_length_a 6.622
_cell_length_b 6.622
_cell_length_c 6.622
_cell_angle_alpha 90.00
_cell_angle_beta 90.00
_cell_angle_gamma 90.00
loop_
_atom_site_label
_atom_site_type_symbol
_atom_site_fract_x
_atom_site_fract_y
_atom_site_fract_z
Gd1 Gd 0.000 0.000 0.000
Er1 Er 0.000 0.000 0.500
Co1 Co 0.250 0.250 0.250



[4]
# GdEr2Co | Alexandria via LeMat-Bulk | GGA-PBE | optimized geometry
# - calculated formation energy (eV/atom) = -0.083
# - size of the total moment (μB per formula unit) = 7.14
# - Fermi-level density of states (states/eV/f.u.) = 4.92
data_GdEr2Co
_space_group_name_H-M_alt 'P 4/m m m'
_space_group_IT_number 123
_space_group_name_Hall '-P 4 2'
_cell_length_a 3.373
_cell_length_b 3.373
_cell_length_c 8.818
_cell_angle_alpha 90.00
_cell_angle_beta 90.00
_cell_angle_gamma 90.00
loop_
_atom_site_label
_atom_site_type_symbol
_atom_site_fract_x
_atom_site_fract_y
_atom_site_fract_z
Gd1 Gd 0.000 0.000 0.000
Er1 Er 0.500 0.500 0.320
Co1 Co 0.000 0.000 0.500



[5]
# GdErCo4 | Alexandria via LeMat-Bulk | GGA-PBE | optimized geometry
# - calculated formation energy (eV/atom) = -0.188
# - size of the total moment (μB per formula unit) = 10.77
# - Fermi-level density of states (states/eV/f.u.) = 8.97
data_GdErCo4
_space_group_name_H-M_alt 'F -4 3 m'
_space_group_IT_number 216
_space_group_name_Hall 'F -4 2 3'
_cell_length_a 7.158
_cell_length_b 7.158
_cell_length_c 7.158
_cell_angle_alpha 90.00
_cell_angle_beta 90.00
_cell_angle_gamma 90.00
loop_
_atom_site_label
_atom_site_type_symbol
_atom_site_fract_x
_atom_site_fract_y
_atom_site_fract_z
Gd1 Gd 0.000 0.000 0.000
Er1 Er 0.250 0.250 0.250
Co1 Co 0.125 0.125 0.625



[6]
# GdEr2Co | Alexandria via LeMat-Bulk | GGA-PBE | optimized geometry
# - calculated formation energy (eV/atom) = -0.006
# - size of the total moment (μB per formula unit) = 7.83
# - Fermi-level density of states (states/eV/f.u.) = 5.69
data_GdEr2Co
_space_group_name_H-M_alt 'R -3 m'
_space_group_IT_number 166
_space_group_name_Hall '-R 3 2"'
_cell_length_a 3.6824
_cell_length_b 3.6824
_cell_length_c 27.6256
_cell_angle_alpha 90.00
_cell_angle_beta 90.00
_cell_angle_gamma 120.00
loop_
_atom_site_label
_atom_site_type_symbol
_atom_site_fract_x
_atom_site_fract_y
_atom_site_fract_z
Gd1 Gd 0.0000 0.0000 0.0000
Er1 Er 0.0000 0.0000 0.2229
Co1 Co 0.0000 0.0000 0.5000



Among the records above, which one has the highest size of the total moment? GdErCo4